Record 1
# YSi3Sb (meta-GGA SCAN, PBEsol geometry)
data_YSi3Sb
_chemical_formula_sum 'Y1 Si3 Sb1'
_space_group_name_H-M_alt 'P 1'
_space_group_IT_number 1
_space_group_name_Hall 'P 1'
_cell_length_a 5.193
_cell_length_b 5.193
_cell_length_c 5.193
_cell_angle_alpha 90.00
_cell_angle_beta 90.00
_cell_angle_gamma 90.00
loop_
_atom_site_label
_atom_site_fract_x
_atom_site_fract_y
_atom_site_fract_z
Y1 0.000 0.000 0.000
Si1 0.000 0.000 0.500
Si2 0.000 0.500 0.000
Si3 0.500 0.000 0.000
Sb1 0.500 0.500 0.500
# uncorrected energy	-88.62	eV/cell
# space-group type	No. 221

Record 2
# BiRuBr2 (meta-GGA SCAN, PBEsol geometry)
data_BiRuBr2
_chemical_formula_sum 'Bi1 Ru1 Br2'
_space_group_name_H-M_alt 'P 1'
_space_group_IT_number 1
_space_group_name_Hall 'P 1'
_cell_length_a 4.943
_cell_length_b 4.943
_cell_length_c 4.943
_cell_angle_alpha 60.00
_cell_angle_beta 60.00
_cell_angle_gamma 60.00
loop_
_atom_site_label
_atom_site_fract_x
_atom_site_fract_y
_atom_site_fract_z
Bi1 0.000 0.000 0.000
Ru1 0.500 0.500 0.500
Br1 0.250 0.250 0.250
Br2 0.750 0.750 0.750
# distance to the lowest polymorph of the same formula	248.6	meV/atom
# space-group type	No. 225

Record 3
# NaGa3Fe (meta-GGA SCAN, PBEsol geometry)
data_NaGa3Fe
_chemical_formula_sum 'Na1 Ga3 Fe1'
_space_group_name_H-M_alt 'P 1'
_space_group_IT_number 1
_space_group_name_Hall 'P 1'
_cell_length_a 4.538
_cell_length_b 4.538
_cell_length_c 4.538
_cell_angle_alpha 90.00
_cell_angle_beta 90.00
_cell_angle_gamma 90.00
loop_
_atom_site_label
_atom_site_fract_x
_atom_site_fract_y
_atom_site_fract_z
Na1 0.000 0.000 0.000
Ga1 0.000 0.500 0.500
Ga2 0.500 0.000 0.500
Ga3 0.500 0.500 0.000
Fe1 0.500 0.500 0.500
# formation energy from the elements	-0.8	eV per formula unit
# space-group type	No. 221

Record 4
# TaRe2WN (meta-GGA SCAN, PBEsol geometry)
data_TaRe2WN
_chemical_formula_sum 'Ta1 Re2 W1 N1'
_space_group_name_H-M_alt 'P 1'
_space_group_IT_number 1
_space_group_name_Hall 'P 1'
_cell_length_a 4.053
_cell_length_b 4.053
_cell_length_c 4.164
_cell_angle_alpha 90.00
_cell_angle_beta 90.00
_cell_angle_gamma 90.00
loop_
_atom_site_label
_atom_site_fract_x
_atom_site_fract_y
_atom_site_fract_z
Ta1 0.000 0.000 0.000
Re1 0.000 0.500 0.500
Re2 0.500 0.000 0.500
W1 0.500 0.500 0.000
N1 0.000 0.000 0.500
# uncorrected energy	-287.48	eV/cell
# space-group type	No. 123

Number 1: DOS at the Fermi energy 3.5 states/eV per cell, size of the total moment 0.00 μB per cell, ρ 3.5 g/cm3. Number 2: DOS at the Fermi energy 3.2 states/eV per cell, size of the total moment 1.94 μB per cell, ρ 9.1 g/cm3. Number 3: DOS at the Fermi energy 0.9 states/eV per cell, size of the total moment 0.00 μB per cell, ρ 5.1 g/cm3. Number 4: DOS at the Fermi energy 3.7 states/eV per cell, size of the total moment 0.00 μB per cell, ρ 18.2 g/cm3.